6
Lattice="3.5013 0.0000 0.0000 0.0000 3.5263 0.0000 -1.2139 0.0000 9.1882" Properties=species:S:1:pos:R:3 comment="ScTaAs PBE optimized geometry" e_tot_ev_per_atom=-8.22 ef_ev_per_fu=-1.82 volume_a3_per_cell=113.4 spacegroup="Pm, No. 6" pbc="T T T"
Sc 0.0000 0.0000 0.0000
Sc -0.1463 0.0000 6.1119
Ta -0.1658 0.0000 2.9597
Ta 1.6022 1.7632 4.4285
As 1.6167 1.7632 1.6305
As 1.5678 1.7632 7.2373

---

12
Lattice="3.4719 -5.4472 0.0000 3.4719 5.4472 0.0000 -3.3207 0.0000 3.8063" Properties=species:S:1:pos:R:3 comment="LuTaO4 PBE optimized geometry" e_form_raw_mev_per_atom=-3282 e_tot_ev_per_atom=-9.32 volume_a3_per_cell=144.0 spacegroup="C2/c, No. 15" pbc="T T T"
Lu 0.9814 4.0160 2.8547
Lu 2.6418 -4.0160 0.9516
Ta 2.6418 1.1233 0.9516
Ta 0.9814 -1.1233 2.8547
O 1.2176 2.3028 1.2953
O -0.8410 0.3434 2.9682
O 0.8194 -0.3434 1.0651
O 4.0660 2.3028 0.6079
O -0.4428 -2.3028 3.1984
O 2.8038 0.3434 2.7413
O 4.4642 -0.3434 0.8381
O 2.4056 -2.3028 2.5111

---

6
Lattice="0.0000 3.9702 3.9702 3.9702 0.0000 3.9702 3.9702 3.9702 0.0000" Properties=species:S:1:pos:R:3 comment="ZrPbAu4 PBE optimized geometry" e_tot_ev_per_atom=-4.27 ef_ev_per_fu=-0.27 volume_a3_per_cell=125.2 spacegroup="F-43m, No. 216" pbc="T T T"
Zr 0.0000 0.0000 0.0000
Pb 1.9851 1.9851 1.9851
Au 4.9671 2.9733 2.9733
Au 2.9733 4.9671 2.9733
Au 2.9733 2.9733 4.9671
Au 4.9671 4.9671 4.9671

---

12
Lattice="3.8721 -6.7104 0.0000 3.8721 6.7104 0.0000 -2.5995 0.0000 7.8357" Properties=species:S:1:pos:R:3 comment="Ba6Pd2NCl3 PBE optimized geometry" e_form_raw_mev_per_atom=-1211 e_tot_ev_per_atom=-4.19 volume_a3_per_cell=407.2 spacegroup="C2/m, No. 12" pbc="T T T"
Ba 1.1560 2.0045 1.6537
Ba -0.2926 0.0000 6.2000
Ba 1.1560 -2.0045 1.6537
Ba 3.9888 2.0045 6.1820
Ba 5.4374 0.0000 1.6357
Ba 3.9888 -2.0045 6.1820
Pd 3.8721 2.2406 0.0000
Pd 3.8721 -2.2406 0.0000
N 0.0000 0.0000 0.0000
Cl 2.5724 4.4906 3.9179
Cl 2.5724 0.0000 3.9179
Cl 2.5724 -4.4906 3.9179

---

12
Lattice="3.9438 0.0000 0.0000 -1.9719 3.4154 0.0000 0.0000 0.0000 21.3303" Properties=species:S:1:pos:R:3 comment="Ho2RhSe PBE optimized geometry" polymorph_energy_kj_per_mol_fu=37 e_form_raw_mev_per_atom=-1207 e_tot_ev_per_atom=-6.20 volume_a3_per_cell=287.3 spacegroup="R3m, No. 160" pbc="T T T"
Ho 0.0000 0.0000 0.0000
Ho 0.0000 0.0000 3.9422
Ho 0.0000 2.2769 14.2202
Ho 0.0000 2.2769 18.1624
Ho 1.9719 1.1385 7.1101
Ho 1.9719 1.1385 11.0523
Rh 0.0000 0.0000 12.6148
Rh 0.0000 2.2769 5.5047
Rh 1.9719 1.1385 19.7249
Se 0.0000 0.0000 9.0793
Se 0.0000 2.2769 1.9692
Se 1.9719 1.1385 16.1894

---

12
Lattice="2.0698 -8.7449 0.0000 2.0698 8.7449 0.0000 0.0000 0.0000 5.0916" Properties=species:S:1:pos:R:3 comment="V4GaTc PBE optimized geometry" polymorph_energy_kj_per_mol_fu=224 e_tot_ev_per_atom=-8.11 ef_ev_per_fu=1.23 volume_a3_per_cell=184.3 spacegroup="Cmc2_1, No. 36" pbc="T T T"
V 2.0698 7.6571 2.5458
V 2.0698 5.1662 2.8662
V 2.0698 4.9173 0.2338
V 2.0698 2.3985 1.4023
V 2.0698 -2.3985 3.9481
V 2.0698 -4.9173 2.7796
V 2.0698 -5.1662 0.3204
V 2.0698 -7.6571 0.0000
Ga 2.0698 2.4302 3.9638
Ga 2.0698 -2.4302 1.4180
Tc 2.0698 7.4039 4.9420
Tc 2.0698 -7.4039 2.3962

---

16
Lattice="7.2468 0.0000 0.0000 0.0000 7.2468 0.0000 0.0000 0.0000 5.5462" Properties=species:S:1:pos:R:3 comment="Ta2GeMo PBE optimized geometry" e_tot_ev_per_atom=-9.20 ef_ev_per_fu=2.35 volume_a3_per_cell=291.3 spacegroup="I-42d, No. 122" pbc="T T T"
Ta 1.7729 1.8117 0.6933
Ta 1.8117 5.3963 2.0798
Ta 1.8117 5.4739 4.8529
Ta 1.8505 1.8117 3.4664
Ta 5.3963 5.4351 3.4664
Ta 5.4351 1.7729 4.8529
Ta 5.4351 1.8505 2.0798
Ta 5.4739 5.4351 0.6933
Ge 0.0000 0.0000 0.0000
Ge 0.0000 3.6234 1.3865
Ge 3.6234 0.0000 4.1596
Ge 3.6234 3.6234 2.7731
Mo 0.0000 0.0000 2.7731
Mo 0.0000 3.6234 4.1596
Mo 3.6234 0.0000 1.3865
Mo 3.6234 3.6234 0.0000

---

14
Lattice="3.4831 -7.7239 0.0000 3.4831 7.7239 0.0000 0.0000 0.0000 7.5225" Properties=species:S:1:pos:R:3 comment="La4Ge2C PBE optimized geometry" polymorph_energy_kj_per_mol_fu=0 e_tot_ev_per_atom=-5.97 ef_ev_per_fu=-3.65 volume_a3_per_cell=404.8 spacegroup="Cmce, No. 64" pbc="T T T"
La 3.4831 5.0691 7.0004
La 1.7416 0.3669 5.6419
La 1.7416 -0.3669 1.8806
La 3.4831 2.6548 3.2392
La 3.4831 -2.6548 4.2833
La 5.2247 0.3669 5.6419
La 5.2247 -0.3669 1.8806
La 3.4831 -5.0691 0.5221
Ge 3.4831 5.6520 4.0372
Ge 3.4831 2.0718 0.2759
Ge 3.4831 -2.0718 7.2466
Ge 3.4831 -5.6520 3.4853
C 0.0000 0.0000 0.0000
C 3.4831 0.0000 3.7613

---

4
Lattice="3.5535 0.0000 0.0000 0.0000 4.0318 0.0000 -1.7668 0.0000 7.7233" Properties=species:S:1:pos:R:3 comment="KYBe2 PBE optimized geometry" polymorph_energy_kj_per_mol_fu=60 e_tot_ev_per_atom=-3.22 ef_ev_per_fu=2.11 volume_a3_per_cell=110.7 spacegroup="Pm, No. 6" pbc="T T T"
K 0.0000 0.0000 0.0000
Y 1.7911 2.0159 3.5755
Be 0.0161 0.0000 4.7979
Be 0.0135 2.0159 5.5259

---

8
Lattice="5.2964 0.0000 0.0000 0.0000 5.3253 0.0000 -0.0237 0.0000 10.4853" Properties=species:S:1:pos:R:3 comment="AcLa2PrNd4 PBE optimized geometry" e_tot_ev_per_atom=-4.71 ef_ev_per_fu=0.14 volume_a3_per_cell=295.7 spacegroup="P2/m, No. 10" pbc="T T T"
Ac 0.0000 0.0000 0.0000
La -0.0118 0.0000 5.2426
La 2.6482 2.6627 0.0000
Pr 2.6364 2.6627 5.2426
Nd -0.0048 2.6627 2.6716
Nd 5.2775 2.6627 7.8137
Nd 2.6443 0.0000 2.6738
Nd 2.6285 0.0000 7.8115

---

5
Lattice="4.5011 0.0000 0.0000 0.0000 4.5011 0.0000 0.0000 0.0000 4.5011" Properties=species:S:1:pos:R:3 comment="SrCo3Re PBE optimized geometry" polymorph_energy_kj_per_mol_fu=871 e_tot_ev_per_atom=-4.46 ef_ev_per_fu=13.16 volume_a3_per_cell=91.2 spacegroup="Pm-3m, No. 221" pbc="T T T"
Sr 0.0000 0.0000 0.0000
Co 0.0000 0.0000 2.2505
Co 0.0000 2.2505 0.0000
Co 2.2505 0.0000 0.0000
Re 2.2505 2.2505 2.2505

---

10
Lattice="0.0000 4.3950 4.3950 4.3950 0.0000 4.3950 4.3950 4.3950 0.0000" Properties=species:S:1:pos:R:3 comment="Rb2SrIO6 PBE optimized geometry" e_form_raw_mev_per_atom=-1342 e_tot_ev_per_atom=-4.83 volume_a3_per_cell=169.8 spacegroup="Fm-3m, No. 225" pbc="T T T"
Rb 2.1975 2.1975 2.1975
Rb 6.5924 6.5924 6.5924
Sr 0.0000 0.0000 0.0000
I 4.3950 4.3950 4.3950
O 4.3950 4.3950 2.4941
O 4.3950 2.4941 4.3950
O 6.2958 4.3950 4.3950
O 2.4941 4.3950 4.3950
O 4.3950 6.2958 4.3950
O 4.3950 4.3950 6.2958